[1]
{"formula": "Li2TlNi", "functional": "SCAN", "state": "single point on PBEsol structure", "e_form_ev_per_atom": 0.2166, "space_group": "R3m (160)", "lattice_angstrom": [[3.0935, 0.0000, 0.0000], [-1.5467, 2.6790, 0.0000], [0.0000, 0.0000, 25.7750]], "species": ["Li", "Li", "Li", "Li", "Li", "Li", "Tl", "Tl", "Tl", "Ni", "Ni", "Ni"], "fractional_positions": [[0.0000, 0.0000, 0.0000], [0.0000, 0.0000, 0.2352], [0.3333, 0.6667, 0.6667], [0.3333, 0.6667, 0.9019], [0.6667, 0.3333, 0.3333], [0.6667, 0.3333, 0.5686], [0.0000, 0.0000, 0.7548], [0.3333, 0.6667, 0.4214], [0.6667, 0.3333, 0.0881], [0.0000, 0.0000, 0.4982], [0.3333, 0.6667, 0.1648], [0.6667, 0.3333, 0.8315]]}

[2]
{"formula": "LiTl3Ni", "functional": "SCAN", "state": "single point on PBEsol structure", "e_form_ev_per_atom": 0.6588, "space_group": "Pm-3m (221)", "lattice_angstrom": [[4.8789, 0.0000, 0.0000], [0.0000, 4.8789, 0.0000], [0.0000, 0.0000, 4.8789]], "species": ["Li", "Tl", "Tl", "Tl", "Ni"], "fractional_positions": [[0.0000, 0.0000, 0.0000], [0.0000, 0.0000, 0.5000], [0.0000, 0.5000, 0.0000], [0.5000, 0.0000, 0.0000], [0.5000, 0.5000, 0.5000]]}